Entry 1:
A plane-wave DFT calculation with meta-GGA SCAN was carried out for AgPb2Se at its PBEsol-relaxed geometry.

Properties
Energy ... -50.64 eV per atom

Unit cell a=5.528 b=5.528 c=5.528 alpha=130.10 beta=130.00 gamma=73.32
Element x y z (fractional)
Ag  0.000  0.000  0.000
Pb  0.249  0.749  0.500
Pb  0.751  0.251  0.500
Se  0.500  0.500  0.000


Entry 2:
A plane-wave DFT calculation with meta-GGA SCAN was carried out for SiAgPb at its PBEsol-relaxed geometry.

Properties
Energy ... -38.60 eV per atom

Unit cell a=3.337 b=3.337 c=6.576 alpha=90.00 beta=90.00 gamma=120.00
Element x y z (fractional)
Si  0.000  0.000  0.000
Ag  0.333  0.667  0.736
Pb  0.667  0.333  0.361


Entry 3:
A plane-wave DFT calculation with meta-GGA SCAN was carried out for SiAgPb at its PBEsol-relaxed geometry.

Properties
Energy ... -38.55 eV per atom

Unit cell a=4.585 b=4.585 c=4.585 alpha=60.00 beta=60.00 gamma=60.00
Element x y z (fractional)
Si  0.000  0.000  0.000
Ag  0.250  0.250  0.250
Pb  0.500  0.500  0.500


Entry 4:
A plane-wave DFT calculation with meta-GGA SCAN was carried out for SiAgPb at its PBEsol-relaxed geometry.

Properties
Energy ... -38.60 eV per atom

Unit cell a=6.439 b=6.439 c=6.439 alpha=151.10 beta=151.10 gamma=41.33
Element x y z (fractional)
Si  0.000  0.000  0.000
Ag  0.618  0.618  0.000
Pb  0.306  0.306  0.000


Entry 5:
A plane-wave DFT calculation with meta-GGA SCAN was carried out for Si2AgPb at its PBEsol-relaxed geometry.

Properties
Energy ... -31.13 eV per atom

Unit cell a=5.895 b=5.895 c=5.895 alpha=150.52 beta=128.31 gamma=60.63
Element x y z (fractional)
Si  0.226  0.226  0.000
Si  0.774  0.774  0.000
Ag  0.000  0.500  0.500
Pb  0.500  0.000  0.500


Entry 6:
A plane-wave DFT calculation with meta-GGA SCAN was carried out for Si2AgPb at its PBEsol-relaxed geometry.

Properties
Energy ... -31.30 eV per atom

Unit cell a=9.829 b=9.829 c=9.829 alpha=155.32 beta=155.32 gamma=35.19
Element x y z (fractional)
Si  0.032  0.625  0.907
Si  0.375  0.282  0.407
Si  0.718  0.125  0.093
Si  0.875  0.968  0.593
Ag  0.000  0.000  0.000
Ag  0.750  0.250  0.500
Pb  0.250  0.750  0.500
Pb  0.500  0.500  0.000


Entry 7:
A plane-wave DFT calculation with meta-GGA SCAN was carried out for Ag2Sn2Pb at its PBEsol-relaxed geometry.

Properties
Formation energy ... 13.19 kJ per mole of atoms

Unit cell a=6.990 b=6.990 c=6.990 alpha=143.54 beta=143.54 gamma=52.51
Element x y z (fractional)
Ag  0.250  0.750  0.500
Ag  0.750  0.250  0.500
Sn  0.113  0.113  0.000
Sn  0.887  0.887  0.000
Pb  0.500  0.500  0.000


Entry 8:
A plane-wave DFT calculation with meta-GGA SCAN was carried out for Ag2Sn2Pb at its PBEsol-relaxed geometry.

Properties
Formation energy ... 15.28 kJ per mole of atoms

Unit cell a=8.335 b=8.335 c=3.292 alpha=90.00 beta=90.00 gamma=90.00
Element x y z (fractional)
Ag  0.126  0.374  0.000
Ag  0.374  0.874  0.000
Ag  0.626  0.126  0.000
Ag  0.874  0.626  0.000
Sn  0.168  0.668  0.500
Sn  0.332  0.168  0.500
Sn  0.668  0.832  0.500
Sn  0.832  0.332  0.500
Pb  0.000  0.000  0.000
Pb  0.500  0.500  0.000


Entry 9:
A plane-wave DFT calculation with meta-GGA SCAN was carried out for SrAgPb at its PBEsol-relaxed geometry.

Properties
Formation energy ... -54.51 kJ per mole of atoms

Unit cell a=4.969 b=4.969 c=3.848 alpha=90.00 beta=90.00 gamma=120.00
Element x y z (fractional)
Sr  0.000  0.000  0.000
Ag  0.333  0.667  0.500
Pb  0.667  0.333  0.500


Entry 10:
A plane-wave DFT calculation with meta-GGA SCAN was carried out for TaAgPb at its PBEsol-relaxed geometry.

Properties
Formation energy ... 102.37 kJ per mole of atoms

Unit cell a=4.583 b=4.583 c=4.583 alpha=60.00 beta=60.00 gamma=60.00
Element x y z (fractional)
Ta  0.000  0.000  0.000
Ag  0.500  0.500  0.500
Pb  0.750  0.750  0.750


Entry 11:
A plane-wave DFT calculation with meta-GGA SCAN was carried out for TaAgPb3 at its PBEsol-relaxed geometry.

Properties
Formation energy ... 129.46 kJ per mole of atoms

Unit cell a=5.277 b=5.277 c=5.277 alpha=90.00 beta=90.00 gamma=90.00
Element x y z (fractional)
Ta  0.000  0.000  0.000
Ag  0.500  0.500  0.500
Pb  0.000  0.500  0.500
Pb  0.500  0.000  0.500
Pb  0.500  0.500  0.000


Entry 12:
A plane-wave DFT calculation with meta-GGA SCAN was carried out for TaAg2Pb at its PBEsol-relaxed geometry.

Properties
Formation energy ... 38.84 kJ per mole of atoms

Unit cell a=6.010 b=6.010 c=6.010 alpha=151.52 beta=130.99 gamma=57.66
Element x y z (fractional)
Ta  0.000  0.000  0.000
Ag  0.236  0.736  0.500
Ag  0.764  0.264  0.500
Pb  0.500  0.500  0.000


Entry 13:
A plane-wave DFT calculation with meta-GGA SCAN was carried out for TaAgPb at its PBEsol-relaxed geometry.

Properties
Formation energy ... 42.89 kJ per mole of atoms

Unit cell a=3.061 b=3.061 c=7.462 alpha=90.00 beta=90.00 gamma=120.00
Element x y z (fractional)
Ta  0.000  0.000  0.000
Ag  0.333  0.667  0.695
Pb  0.667  0.333  0.341


Entry 14:
A plane-wave DFT calculation with meta-GGA SCAN was carried out for TaAg2Pb at its PBEsol-relaxed geometry.

Properties
Formation energy ... 36.07 kJ per mole of atoms

Unit cell a=9.977 b=9.977 c=9.977 alpha=17.45 beta=17.45 gamma=17.45
Element x y z (fractional)
Ta  0.000  0.000  0.000
Ag  0.256  0.256  0.256
Ag  0.513  0.513  0.513
Pb  0.755  0.755  0.755


Entry 15:
A plane-wave DFT calculation with meta-GGA SCAN was carried out for Tc2AgPb at its PBEsol-relaxed geometry.

Properties
Formation energy ... 90.68 kJ per mole of atoms

Unit cell a=9.132 b=9.132 c=9.132 alpha=18.60 beta=18.60 gamma=18.60
Element x y z (fractional)
Tc  0.249  0.249  0.249
Tc  0.751  0.751  0.751
Ag  0.500  0.500  0.500
Pb  0.000  0.000  0.000


Entry 16:
A plane-wave DFT calculation with meta-GGA SCAN was carried out for TcAg2Pb at its PBEsol-relaxed geometry.

Properties
Formation energy ... 52.38 kJ per mole of atoms

Unit cell a=5.836 b=5.836 c=2.967 alpha=104.17 beta=104.17 gamma=123.54
Element x y z (fractional)
Tc  0.000  0.000  0.000
Ag  0.000  0.500  0.500
Ag  0.500  0.000  0.500
Pb  0.500  0.500  0.000


Entry 17:
A plane-wave DFT calculation with meta-GGA SCAN was carried out for TcAg4Pb at its PBEsol-relaxed geometry.

Properties
Formation energy ... 53.86 kJ per mole of atoms

Unit cell a=5.413 b=5.413 c=5.413 alpha=60.00 beta=60.00 gamma=60.00
Element x y z (fractional)
Tc  0.000  0.000  0.000
Ag  0.374  0.374  0.374
Ag  0.374  0.374  0.877
Ag  0.374  0.877  0.374
Ag  0.877  0.374  0.374
Pb  0.750  0.750  0.750


Entry 18:
A plane-wave DFT calculation with meta-GGA SCAN was carried out for TcAgPb2 at its PBEsol-relaxed geometry.

Properties
Formation energy ... 47.45 kJ per mole of atoms

Unit cell a=4.441 b=5.565 c=5.565 alpha=36.53 beta=90.00 gamma=90.00
Element x y z (fractional)
Tc  0.000  0.000  0.000
Ag  0.500  0.840  0.840
Pb  0.000  0.275  0.275
Pb  0.500  0.565  0.565


Entry 19:
A plane-wave DFT calculation with meta-GGA SCAN was carried out for Tc2AgPb at its PBEsol-relaxed geometry.

Properties
Formation energy ... 66.22 kJ per mole of atoms

Unit cell a=4.897 b=4.897 c=4.897 alpha=133.09 beta=126.40 gamma=73.94
Element x y z (fractional)
Tc  0.000  0.000  0.000
Tc  0.793  0.293  0.500
Ag  0.262  0.762  0.500
Pb  0.526  0.526  0.000


Entry 20:
A plane-wave DFT calculation with meta-GGA SCAN was carried out for AgTe2Pb at its PBEsol-relaxed geometry.

Properties
Energy ... -45.50 eV per atom

Unit cell a=4.339 b=4.339 c=6.003 alpha=90.00 beta=90.00 gamma=90.00
Element x y z (fractional)
Ag  0.000  0.000  0.000
Te  0.000  0.000  0.500
Te  0.500  0.500  0.000
Pb  0.500  0.500  0.500


Number 1: theoretical density 10.33 Mg/m³. Number 2: theoretical density 8.99 Mg/m³. Number 3: theoretical density 8.36 Mg/m³. Number 4: theoretical density 9.16 Mg/m³. Number 5: theoretical density 7.86 Mg/m³. Number 6: theoretical density 7.46 Mg/m³. Number 7: theoretical density 9.15 Mg/m³. Number 8: theoretical density 9.59 Mg/m³. Number 9: theoretical density 8.13 Mg/m³. Number 10: theoretical density 12.10 Mg/m³. Number 11: theoretical density 10.29 Mg/m³. Number 12: theoretical density 12.92 Mg/m³. Number 13: theoretical density 13.60 Mg/m³. Number 14: theoretical density 12.87 Mg/m³. Number 15: theoretical density 12.54 Mg/m³. Number 16: theoretical density 12.00 Mg/m³. Number 17: theoretical density 10.91 Mg/m³. Number 18: theoretical density 12.58 Mg/m³. Number 19: theoretical density 12.60 Mg/m³. Number 20: theoretical density 8.38 Mg/m³.